# 1
Material: SrSiNi2
Method: DFT, PBEsol
State: relaxed

The structure in POSCAR format:
```
SrSiNi2
1.0
3.718 0.000 0.000
0.000 3.718 0.000
0.000 0.000 5.408
Ni Sr Si
2 1 1
Cartesian
0.000 1.859 1.006
1.859 0.000 1.006
1.859 1.859 3.955
0.000 0.000 2.150
```

Summary:
DOS(E_F) = 1.2 states/eV/cell
Total energy = -20.72 eV per cell
Uncorrected formation energy = -0.20 eV/atom
Space group = No. 99


# 2
Material: AsPb2N
Method: DFT, PBEsol
State: relaxed

The structure in POSCAR format:
```
AsPb2N
1.0
4.857 0.000 0.000
2.429 4.207 0.000
2.429 1.402 3.966
Pb N As
2 1 1
Cartesian
2.429 1.402 0.992
7.286 4.207 2.975
0.000 0.000 0.000
4.857 2.804 1.983
```

Summary:
DOS(E_F) = 2.3 states/eV/cell
Total energy = -18.03 eV per cell
Uncorrected formation energy = 0.90 eV/atom
Space group = No. 225


# 3
Material: MgUO4
Method: DFT, PBEsol
State: relaxed

The structure in POSCAR format:
```
MgUO4
1.0
5.766 -0.015 -0.001
-2.006 5.406 0.001
-2.078 -2.557 4.731
O Mg U
8 2 2
Cartesian
2.903 0.457 2.487
1.721 3.083 2.123
1.071 1.734 4.609
1.425 -1.271 4.488
-1.221 2.377 2.244
-0.040 -0.250 2.609
0.257 4.105 0.244
0.610 1.099 0.122
1.880 2.695 0.000
1.844 -1.286 2.365
-2.927 2.331 3.549
4.609 0.502 1.182
```

Summary:
DOS(E_F) = 0.0 states/eV/cell
Total energy = -105.60 eV per cell
Uncorrected formation energy = -2.99 eV/atom
Space group = No. 74


# 4
Material: Zr2TaTe
Method: DFT, PBEsol
State: relaxed

The structure in POSCAR format:
```
Zr2TaTe
1.0
-2.690 1.769 -0.214
-2.643 -4.065 -0.368
-0.322 -0.276 5.356
Ta Zr Te
1 2 1
Cartesian
-2.667 -1.148 -0.291
-0.668 0.323 1.223
-2.344 1.169 3.919
-1.483 -2.171 2.494
```

Summary:
DOS(E_F) = 3.9 states/eV/cell
Total energy = -34.38 eV per cell
Uncorrected formation energy = -0.03 eV/atom
Space group = No. 10


Q: The highest total energy belongs to which entry?
A: AsPb2N


What did the second record say?
Material: AsPb2N
Method: DFT, PBEsol
State: relaxed

The structure in POSCAR format:
```
AsPb2N
1.0
4.857 0.000 0.000
2.429 4.207 0.000
2.429 1.402 3.966
Pb N As
2 1 1
Cartesian
2.429 1.402 0.992
7.286 4.207 2.975
0.000 0.000 0.000
4.857 2.804 1.983
```

Summary:
DOS(E_F) = 2.3 states/eV/cell
Total energy = -18.03 eV per cell
Uncorrected formation energy = 0.90 eV/atom
Space group = No. 225